Ba3VO5: optimized geometry, GGA+U.

Cell: 7.9686 7.9686 7.9686 Å, 124.69 124.69 82.06°
Last column: nearest neighbours and their distance in Å.
Fractional positions:
Ba: 0.1806 0.6806 0.8612  4 O 2.68-2.71
Ba: 0.2500 0.2500 0.0000  10 O 3.01-3.09
Ba: 0.3194 0.1806 0.5000  4 O 2.68-2.71
Ba: 0.6806 0.8194 0.5000  4 O 2.68-2.71
Ba: 0.7500 0.7500 0.0000  10 O 3.01-3.09
Ba: 0.8194 0.3194 0.1388  4 O 2.68-2.71
V: 0.2500 0.7500 0.5000  4 O 1.82
V: 0.7500 0.2500 0.5000  4 O 1.82
O: 0.0000 0.0000 0.0000  6 Ba 2.71-3.01
O: 0.0192 0.7911 0.5000  1 V 1.82
O: 0.2089 0.7089 0.2282  1 V 1.82
O: 0.2911 0.5192 0.5000  1 V 1.82
O: 0.4808 0.9808 0.7718  1 V 1.82
O: 0.5000 0.5000 0.0000  6 Ba 2.71-3.01
O: 0.5192 0.0192 0.2282  1 V 1.82
O: 0.7089 0.4808 0.5000  1 V 1.82
O: 0.7911 0.2911 0.7718  1 V 1.82
O: 0.9808 0.2089 0.5000  1 V 1.82

Output
Its space-group type is I4/mcm, No. 140. The total moment comes out at 1.0 μB per formula unit. The uncorrected energy comes out at -6.73 eV/atom.